Here is a geometry-optimized Nd6Fe13Sb structure from OQMD via LeMat-Bulk. Energies are from GGA-PBE.

POSCAR file:
```
Nd6Fe13Sb
1.0
-4.0110 4.0110 11.6336
4.0110 -4.0110 11.6336
4.0110 4.0110 -11.6336
Fe Sb Nd
26 2 12
Cartesian
2.3309 3.4735 0.0000 Fe
3.4735 2.3309 11.6336 Fe
0.9127 3.0982 -2.1869 Fe
-0.9127 3.0983 9.4467 Fe
4.9237 0.9127 -2.1869 Fe
2.5770 -1.4339 13.0059 Fe
2.5770 -1.4339 10.2613 Fe
0.0000 4.0110 0.0000 Fe
-0.5375 1.6801 11.6336 Fe
2.5770 1.4339 1.3723 Fe
0.5375 1.6801 0.0000 Fe
1.4339 5.4449 -1.3723 Fe
-2.3309 3.4735 11.6336 Fe
3.0982 0.9127 13.8205 Fe
3.0982 0.9127 9.4467 Fe
4.5484 2.3309 0.0000 Fe
4.0110 0.0000 0.0000 Fe
-0.9127 3.0983 13.8205 Fe
1.4339 2.5770 10.2613 Fe
0.9127 3.0983 2.1869 Fe
1.6801 0.5375 11.6336 Fe
1.4339 5.4449 1.3723 Fe
4.9237 0.9127 2.1869 Fe
6.3419 0.5375 0.0000 Fe
2.5770 1.4339 -1.3723 Fe
1.4339 2.5770 13.0059 Fe
0.0000 0.0000 5.8168 Sb
0.0000 0.0000 17.4504 Sb
-1.3028 2.7082 4.3218 Nd
0.0000 0.0000 14.0713 Nd
5.3137 -1.3028 4.3218 Nd
0.0000 0.0000 2.4377 Nd
2.7082 -1.3028 7.3118 Nd
0.0000 0.0000 20.8295 Nd
-1.3028 5.3137 7.3119 Nd
1.3028 5.3137 4.3218 Nd
0.0000 0.0000 9.1959 Nd
2.7082 1.3028 4.3218 Nd
1.3028 2.7082 7.3118 Nd
5.3137 1.3028 7.3119 Nd
```

Computed properties:
**Space group**: I4/mcm, No. 140
**Total energy**: -7.16 eV per atom